Run P
First-principles (PBE) data for an optimized crystal structure of ZnOsPd3, as listed in Alexandria via LeMat-Bulk.

The density of states at the Fermi level comes out at 6.76 states/eV/f.u. The value obtained for the calculated density is 8.501 Mg/m³.

The space group is Pm-3m (No. 221) and the conventional cell measures 4.825, 4.825 and 4.825 Å, with angles of 90.00, 90.00 and 90.00 degrees. The distinct sites, in fractional coordinates, are Zn at (0.000, 0.000, 0.000), Os at (0.500, 0.500, 0.500) and Pd at (0.000, 0.500, 0.500).

=====

Run Q
First-principles (PBE) data for an optimized crystal structure of ZnOsPd3, as listed in Alexandria via LeMat-Bulk.

The density of states at the Fermi level comes out at 7.31 states/eV/f.u. The value obtained for the calculated density is 10.239 Mg/m³.

The space group is Pm-3m (No. 221) and the conventional cell measures 4.534, 4.534 and 4.534 Å, with angles of 90.00, 90.00 and 90.00 degrees. The distinct sites, in fractional coordinates, are Zn at (0.000, 0.000, 0.000), Os at (0.500, 0.500, 0.500) and Pd at (0.000, 0.000, 0.500).

=====

Stability verdict: run Q, ahead by 30 meV per atom